Record 1
# Ca2TiRh2 GGA-PBE optimized geometry
data_Ca2TiRh2
_chemical_formula_sum 'Ca4 Ti2 Rh4'
_cell_length_a 6.687
_cell_length_b 6.687
_cell_length_c 4.701
_cell_angle_alpha 90.00
_cell_angle_beta 90.00
_cell_angle_gamma 90.00
_symmetry_space_group_name_H-M 'P 1'
_symmetry_Int_Tables_number 1
loop_
_symmetry_equiv_pos_as_xyz
'x,y,z'
loop_
_atom_site_label
_atom_site_fract_x
_atom_site_fract_y
_atom_site_fract_z
Ca1 0.174 0.326 0.000
Ca2 0.326 0.826 0.000
Ca3 0.674 0.174 0.000
Ca4 0.826 0.674 0.000
Ti1 0.000 0.000 0.500
Ti2 0.500 0.500 0.500
Rh1 0.138 0.638 0.500
Rh2 0.362 0.138 0.500
Rh3 0.638 0.862 0.500
Rh4 0.862 0.362 0.500
# Size of the total moment, μB/cell: 0.00
# Formation energy from the elements, eV/atom: -0.35

Record 2
# CaTiRh2 GGA-PBE optimized geometry
data_CaTiRh2
_chemical_formula_sum 'Ca1 Ti1 Rh2'
_cell_length_a 3.122
_cell_length_b 3.122
_cell_length_c 7.152
_cell_angle_alpha 90.00
_cell_angle_beta 90.00
_cell_angle_gamma 90.00
_symmetry_space_group_name_H-M 'P 1'
_symmetry_Int_Tables_number 1
loop_
_symmetry_equiv_pos_as_xyz
'x,y,z'
loop_
_atom_site_label
_atom_site_fract_x
_atom_site_fract_y
_atom_site_fract_z
Ca1 0.000 0.000 0.000
Ti1 0.000 0.000 0.500
Rh1 0.500 0.500 0.295
Rh2 0.500 0.500 0.705
# Size of the total moment, μB/cell: 0.00
# Formation energy from the elements, eV/atom: -0.64

Record 3
# CaTi2Rh2 GGA-PBE optimized geometry
data_CaTi2Rh2
_chemical_formula_sum 'Ca2 Ti4 Rh4'
_cell_length_a 4.214
_cell_length_b 4.214
_cell_length_c 11.034
_cell_angle_alpha 90.00
_cell_angle_beta 90.00
_cell_angle_gamma 90.00
_symmetry_space_group_name_H-M 'P 1'
_symmetry_Int_Tables_number 1
loop_
_symmetry_equiv_pos_as_xyz
'x,y,z'
loop_
_atom_site_label
_atom_site_fract_x
_atom_site_fract_y
_atom_site_fract_z
Ca1 0.000 0.000 0.000
Ca2 0.500 0.500 0.500
Ti1 0.000 0.500 0.250
Ti2 0.000 0.500 0.750
Ti3 0.500 0.000 0.250
Ti4 0.500 0.000 0.750
Rh1 0.000 0.000 0.378
Rh2 0.000 0.000 0.622
Rh3 0.500 0.500 0.122
Rh4 0.500 0.500 0.878
# Relative energy among the computed polymorphs, kJ per mole of atoms: 0.0
# Size of the total moment, μB/cell: 0.00
# Formation energy from the elements, eV/atom: -0.58

Record 4
# CaTi2Rh2 GGA-PBE optimized geometry
data_CaTi2Rh2
_chemical_formula_sum 'Ca2 Ti4 Rh4'
_cell_length_a 7.735
_cell_length_b 7.735
_cell_length_c 2.910
_cell_angle_alpha 90.00
_cell_angle_beta 90.00
_cell_angle_gamma 90.00
_symmetry_space_group_name_H-M 'P 1'
_symmetry_Int_Tables_number 1
loop_
_symmetry_equiv_pos_as_xyz
'x,y,z'
loop_
_atom_site_label
_atom_site_fract_x
_atom_site_fract_y
_atom_site_fract_z
Ca1 0.000 0.000 0.000
Ca2 0.500 0.500 0.000
Ti1 0.140 0.360 0.000
Ti2 0.360 0.860 0.000
Ti3 0.640 0.140 0.000
Ti4 0.860 0.640 0.000
Rh1 0.152 0.652 0.500
Rh2 0.348 0.152 0.500
Rh3 0.652 0.848 0.500
Rh4 0.848 0.348 0.500
# Relative energy among the computed polymorphs, kJ per mole of atoms: 10.3
# Size of the total moment, μB/cell: 0.00
# Formation energy from the elements, eV/atom: -0.47

Record 5
# CaTiRh2 GGA-PBE optimized geometry
data_CaTiRh2
_chemical_formula_sum 'Ca1 Ti1 Rh2'
_cell_length_a 4.631
_cell_length_b 4.631
_cell_length_c 3.159
_cell_angle_alpha 90.00
_cell_angle_beta 90.00
_cell_angle_gamma 90.00
_symmetry_space_group_name_H-M 'P 1'
_symmetry_Int_Tables_number 1
loop_
_symmetry_equiv_pos_as_xyz
'x,y,z'
loop_
_atom_site_label
_atom_site_fract_x
_atom_site_fract_y
_atom_site_fract_z
Ca1 0.000 0.000 0.000
Ti1 0.500 0.500 0.000
Rh1 0.000 0.500 0.500
Rh2 0.500 0.000 0.500
# Size of the total moment, μB/cell: 0.00
# Formation energy from the elements, eV/atom: -0.44

Record 6
# Ca3TiRh GGA-PBE optimized geometry
data_Ca3TiRh
_chemical_formula_sum 'Ca3 Ti1 Rh1'
_cell_length_a 5.417
_cell_length_b 5.417
_cell_length_c 5.417
_cell_angle_alpha 90.00
_cell_angle_beta 90.00
_cell_angle_gamma 90.00
_symmetry_space_group_name_H-M 'P 1'
_symmetry_Int_Tables_number 1
loop_
_symmetry_equiv_pos_as_xyz
'x,y,z'
loop_
_atom_site_label
_atom_site_fract_x
_atom_site_fract_y
_atom_site_fract_z
Ca1 0.000 0.000 0.500
Ca2 0.000 0.500 0.000
Ca3 0.500 0.000 0.000
Ti1 0.500 0.500 0.500
Rh1 0.000 0.000 0.000
# Relative energy among the computed polymorphs, kJ per mole of atoms: 0.0
# Size of the total moment, μB/cell: 0.13
# Formation energy from the elements, eV/atom: 0.40

Record 7
# Ca2TiRh GGA-PBE optimized geometry
data_Ca2TiRh
_chemical_formula_sum 'Ca8 Ti4 Rh4'
_cell_length_a 10.558
_cell_length_b 10.558
_cell_length_c 4.667
_cell_angle_alpha 90.00
_cell_angle_beta 90.00
_cell_angle_gamma 90.00
_symmetry_space_group_name_H-M 'P 1'
_symmetry_Int_Tables_number 1
loop_
_symmetry_equiv_pos_as_xyz
'x,y,z'
loop_
_atom_site_label
_atom_site_fract_x
_atom_site_fract_y
_atom_site_fract_z
Ca1 0.097 0.250 0.125
Ca2 0.250 0.597 0.375
Ca3 0.250 0.903 0.875
Ca4 0.403 0.250 0.625
Ca5 0.597 0.750 0.625
Ca6 0.750 0.097 0.875
Ca7 0.750 0.403 0.375
Ca8 0.903 0.750 0.125
Ti1 0.000 0.000 0.500
Ti2 0.000 0.500 0.750
Ti3 0.500 0.000 0.250
Ti4 0.500 0.500 0.000
Rh1 0.000 0.000 0.000
Rh2 0.000 0.500 0.250
Rh3 0.500 0.000 0.750
Rh4 0.500 0.500 0.500
# Relative energy among the computed polymorphs, kJ per mole of atoms: 0.0
# Size of the total moment, μB/cell: 5.35
# Formation energy from the elements, eV/atom: 0.18

Record 8
# CaTiRh2 GGA-PBE optimized geometry
data_CaTiRh2
_chemical_formula_sum 'Ca4 Ti4 Rh8'
_cell_length_a 7.107
_cell_length_b 7.107
_cell_length_c 6.055
_cell_angle_alpha 90.00
_cell_angle_beta 90.00
_cell_angle_gamma 90.00
_symmetry_space_group_name_H-M 'P 1'
_symmetry_Int_Tables_number 1
loop_
_symmetry_equiv_pos_as_xyz
'x,y,z'
loop_
_atom_site_label
_atom_site_fract_x
_atom_site_fract_y
_atom_site_fract_z
Ca1 0.000 0.000 0.000
Ca2 0.000 0.500 0.250
Ca3 0.500 0.000 0.750
Ca4 0.500 0.500 0.500
Ti1 0.000 0.000 0.500
Ti2 0.000 0.500 0.750
Ti3 0.500 0.000 0.250
Ti4 0.500 0.500 0.000
Rh1 0.202 0.250 0.625
Rh2 0.250 0.702 0.875
Rh3 0.250 0.798 0.375
Rh4 0.298 0.250 0.125
Rh5 0.702 0.750 0.125
Rh6 0.750 0.202 0.375
Rh7 0.750 0.298 0.875
Rh8 0.798 0.750 0.625
# Size of the total moment, μB/cell: 0.00
# Formation energy from the elements, eV/atom: -0.24

Record 9
# CaTl2Rh GGA-PBE optimized geometry
data_CaTl2Rh
_chemical_formula_sum 'Ca2 Tl4 Rh2'
_cell_length_a 4.618
_cell_length_b 4.618
_cell_length_c 8.666
_cell_angle_alpha 90.00
_cell_angle_beta 90.00
_cell_angle_gamma 90.00
_symmetry_space_group_name_H-M 'P 1'
_symmetry_Int_Tables_number 1
loop_
_symmetry_equiv_pos_as_xyz
'x,y,z'
loop_
_atom_site_label
_atom_site_fract_x
_atom_site_fract_y
_atom_site_fract_z
Ca1 0.000 0.000 0.000
Ca2 0.500 0.500 0.500
Tl1 0.000 0.000 0.500
Tl2 0.000 0.500 0.250
Tl3 0.500 0.000 0.750
Tl4 0.500 0.500 0.000
Rh1 0.000 0.500 0.750
Rh2 0.500 0.000 0.250
# Size of the total moment, μB/cell: 0.00
# Formation energy from the elements, eV/atom: -0.07

Record 10
# CaTl2Rh GGA-PBE optimized geometry
data_CaTl2Rh
_chemical_formula_sum 'Ca8 Tl16 Rh8'
_cell_length_a 16.024
_cell_length_b 8.253
_cell_length_c 5.794
_cell_angle_alpha 90.00
_cell_angle_beta 90.00
_cell_angle_gamma 90.00
_symmetry_space_group_name_H-M 'P 1'
_symmetry_Int_Tables_number 1
loop_
_symmetry_equiv_pos_as_xyz
'x,y,z'
loop_
_atom_site_label
_atom_site_fract_x
_atom_site_fract_y
_atom_site_fract_z
Ca1 0.103 0.250 0.246
Ca2 0.140 0.750 0.469
Ca3 0.360 0.250 0.969
Ca4 0.397 0.750 0.746
Ca5 0.603 0.250 0.254
Ca6 0.640 0.750 0.031
Ca7 0.860 0.250 0.531
Ca8 0.897 0.750 0.754
Tl1 0.037 0.051 0.746
Tl2 0.037 0.449 0.746
Tl3 0.214 0.547 0.983
Tl4 0.214 0.953 0.983
Tl5 0.286 0.047 0.483
Tl6 0.286 0.453 0.483
Tl7 0.463 0.551 0.246
Tl8 0.463 0.949 0.246
Tl9 0.537 0.051 0.754
Tl10 0.537 0.449 0.754
Tl11 0.714 0.547 0.517
Tl12 0.714 0.953 0.517
Tl13 0.786 0.047 0.017
Tl14 0.786 0.453 0.017
Tl15 0.963 0.551 0.254
Tl16 0.963 0.949 0.254
Rh1 0.071 0.750 0.982
Rh2 0.183 0.250 0.743
Rh3 0.317 0.750 0.243
Rh4 0.429 0.250 0.482
Rh5 0.571 0.750 0.518
Rh6 0.683 0.250 0.757
Rh7 0.817 0.750 0.257
Rh8 0.929 0.250 0.018
# Size of the total moment, μB/cell: 0.00
# Formation energy from the elements, eV/atom: -0.28

Record 11
# Ca2Tl2Rh GGA-PBE optimized geometry
data_Ca2Tl2Rh
_chemical_formula_sum 'Ca4 Tl4 Rh2'
_cell_length_a 7.321
_cell_length_b 7.321
_cell_length_c 4.940
_cell_angle_alpha 90.00
_cell_angle_beta 90.00
_cell_angle_gamma 90.00
_symmetry_space_group_name_H-M 'P 1'
_symmetry_Int_Tables_number 1
loop_
_symmetry_equiv_pos_as_xyz
'x,y,z'
loop_
_atom_site_label
_atom_site_fract_x
_atom_site_fract_y
_atom_site_fract_z
Ca1 0.175 0.325 0.000
Ca2 0.325 0.825 0.000
Ca3 0.675 0.175 0.000
Ca4 0.825 0.675 0.000
Tl1 0.145 0.645 0.500
Tl2 0.355 0.145 0.500
Tl3 0.645 0.855 0.500
Tl4 0.855 0.355 0.500
Rh1 0.000 0.000 0.500
Rh2 0.500 0.500 0.500
# Size of the total moment, μB/cell: 0.00
# Formation energy from the elements, eV/atom: -0.19

no.,DFT total energy (eV per atom)
1,-5.671
2,-6.792
3,-7.075
4,-6.968
5,-6.586
6,-3.853
7,-4.629
8,-6.392
9,-3.592
10,-3.805
11,-3.410